(1)
# HgW3C, relaxed, DFT GGA-PBE
data_HgW3C
_chemical_formula_sum 'Hg1 W3 C1'
_cell_length_a 4.220
_cell_length_b 4.220
_cell_length_c 4.220
_cell_angle_alpha 90.00
_cell_angle_beta 90.00
_cell_angle_gamma 90.00
_space_group_name_H-M_alt 'P 1'
_space_group_IT_number 1
loop_
_space_group_symop_operation_xyz
'x,y,z'
loop_
_atom_site_label
_atom_site_type_symbol
_atom_site_fract_x
_atom_site_fract_y
_atom_site_fract_z
Hg1 Hg 0.000 0.000 0.000
W1 W 0.000 0.500 0.500
W2 W 0.500 0.000 0.500
W3 W 0.500 0.500 0.000
C1 C 0.500 0.500 0.500
# * ΔE to the lowest computed polymorph: 0.000 eV/atom
# * ΔE_f: 0.55 eV/atom

***

(2)
# CeThCuIr, relaxed, DFT GGA-PBE
data_CeThCuIr
_chemical_formula_sum 'Ce1 Th1 Cu1 Ir1'
_cell_length_a 5.006
_cell_length_b 5.006
_cell_length_c 5.006
_cell_angle_alpha 60.00
_cell_angle_beta 60.00
_cell_angle_gamma 60.00
_space_group_name_H-M_alt 'P 1'
_space_group_IT_number 1
loop_
_space_group_symop_operation_xyz
'x,y,z'
loop_
_atom_site_label
_atom_site_type_symbol
_atom_site_fract_x
_atom_site_fract_y
_atom_site_fract_z
Ce1 Ce 0.000 0.000 0.000
Th1 Th 0.500 0.500 0.500
Cu1 Cu 0.250 0.250 0.250
Ir1 Ir 0.750 0.750 0.750
# * ΔE_f: -0.42 eV/atom

***

(3)
# MnTlAs2Br, relaxed, DFT GGA-PBE
data_MnTlAs2Br
_chemical_formula_sum 'Mn1 Tl1 As2 Br1'
_cell_length_a 4.648
_cell_length_b 4.648
_cell_length_c 6.308
_cell_angle_alpha 90.00
_cell_angle_beta 90.00
_cell_angle_gamma 90.00
_space_group_name_H-M_alt 'P 1'
_space_group_IT_number 1
loop_
_space_group_symop_operation_xyz
'x,y,z'
loop_
_atom_site_label
_atom_site_type_symbol
_atom_site_fract_x
_atom_site_fract_y
_atom_site_fract_z
Mn1 Mn 0.000 0.000 0.000
Tl1 Tl 0.500 0.500 0.500
As1 As 0.000 0.500 0.000
As2 As 0.500 0.000 0.000
Br1 Br 0.000 0.000 0.500
# * energy relative to the elements, uncorrected: 22 meV per atom
# * ΔE to the lowest computed polymorph: 0.000 eV/atom

***

(4)
# TiNbGa, relaxed, DFT GGA-PBE
data_TiNbGa
_chemical_formula_sum 'Ti1 Nb1 Ga1'
_cell_length_a 4.577
_cell_length_b 4.577
_cell_length_c 2.781
_cell_angle_alpha 90.00
_cell_angle_beta 90.00
_cell_angle_gamma 120.00
_space_group_name_H-M_alt 'P 1'
_space_group_IT_number 1
loop_
_space_group_symop_operation_xyz
'x,y,z'
loop_
_atom_site_label
_atom_site_type_symbol
_atom_site_fract_x
_atom_site_fract_y
_atom_site_fract_z
Ti1 Ti 0.000 0.000 0.000
Nb1 Nb 0.667 0.333 0.000
Ga1 Ga 0.333 0.667 0.500
# * ΔE to the lowest computed polymorph: 0.346 eV/atom
# * ΔE_f: -0.07 eV/atom